Entry 1:
This record from the Alexandria database describes a relaxed MgTl crystal. The functional is PBE-GGA.

a b c (Å): 3.4618 3.4618 30.3291
angles (deg): 90.00 90.00 120.00
Space group R-3m (No. 166, hexagonal axes)
Symmetry-distinct sites (fractional):
Mg1 0.0000 0.0000 0.1260 (multiplicity 6)
Tl1 0.0000 0.0000 0.3786 (multiplicity 6)

- E (eV for the cell shown) = -23.66


Entry 2:
This record from the Alexandria database describes a relaxed KYCuSe2 crystal. The functional is PBE-GGA.

a b c (Å): 7.7826 4.6233 8.1300
angles (deg): 90.00 98.77 90.00
Space group P2/c (No. 13)
Symmetry-distinct sites (fractional):
K1 0.0000 0.1586 0.2500 (multiplicity 2)
Y1 0.5000 0.4932 0.7500 (multiplicity 2)
Cu1 0.5000 0.0000 0.0000 (multiplicity 2)
Se1 0.2627 0.3278 0.9674 (multiplicity 4)

- formation energy from raw total energies (eV per atom) = -1.02


Entry 3:
This record from the Alexandria database describes a relaxed KOsO3 crystal. The functional is PBE-GGA.

a b c (Å): 4.2793 4.2793 4.2793
angles (deg): 90.00 90.00 90.00
Space group Pm-3m (No. 221)
Symmetry-distinct sites (fractional):
K1 0.0000 0.0000 0.0000 (multiplicity 1)
Os1 0.5000 0.5000 0.5000 (multiplicity 1)
O1 0.0000 0.0000 0.5000 (multiplicity 3)

- formation energy from raw total energies (eV per atom) = 1.91


Entry 4:
This record from the Alexandria database describes a relaxed Li2AcNp3N6 crystal. The functional is PBE-GGA.

a b c (Å): 14.3275 3.5127 7.4668
angles (deg): 90.00 104.36 90.00
Space group C2/m (No. 12)
Symmetry-distinct sites (fractional):
Li1 0.1764 0.0000 0.4116 (multiplicity 4)
Ac1 0.0000 0.5000 0.0000 (multiplicity 2)
Np1 0.0000 0.5000 0.5000 (multiplicity 2)
Np2 0.1821 0.0000 0.8088 (multiplicity 4)
N1 0.0133 0.0000 0.7140 (multiplicity 4)
N2 0.1678 0.5000 0.5997 (multiplicity 4)
N3 0.1755 0.5000 0.9957 (multiplicity 4)

- formation energy from raw total energies (eV per atom) = -0.98


Entry 5:
This record from the Alexandria database describes a relaxed Sr2MgAlPd6 crystal. The functional is PBE-GGA.

a b c (Å): 5.6542 6.6670 6.9257
angles (deg): 82.65 66.01 65.08
Space group P-1 (No. 2)
Symmetry-distinct sites (fractional):
Sr1 0.0345 0.2188 0.2118 (multiplicity 2)
Mg1 0.5000 0.5000 0.0000 (multiplicity 1)
Al1 0.5000 0.0000 0.5000 (multiplicity 1)
Pd1 0.0097 0.2410 0.7356 (multiplicity 2)
Pd2 0.3439 0.4096 0.4122 (multiplicity 2)
Pd3 0.4882 0.7624 0.2599 (multiplicity 2)

- E (eV for the cell shown) = -45.49


Entry 6:
This record from the Alexandria database describes a relaxed Rb2SrVW crystal. The functional is PBE-GGA.

a b c (Å): 6.5387 6.5387 6.2896
angles (deg): 90.00 90.00 90.00
Space group P4/mmm (No. 123)
Symmetry-distinct sites (fractional):
Rb1 0.0000 0.5000 0.0000 (multiplicity 2)
Sr1 0.0000 0.0000 0.5000 (multiplicity 1)
V1 0.5000 0.5000 0.5000 (multiplicity 1)
W1 0.0000 0.0000 0.0000 (multiplicity 1)

- E (eV for the cell shown) = -15.34


Entry 7:
This record from the Alexandria database describes a relaxed ScAgRu2 crystal. The functional is PBE-GGA.

a b c (Å): 3.2265 4.4457 4.5277
angles (deg): 90.00 90.00 90.00
Space group Pmmm (No. 47)
Symmetry-distinct sites (fractional):
Sc1 0.0000 0.0000 0.0000 (multiplicity 1)
Ag1 0.5000 0.0000 0.5000 (multiplicity 1)
Ru1 0.0000 0.5000 0.5000 (multiplicity 1)
Ru2 0.5000 0.5000 0.0000 (multiplicity 1)

- E (eV for the cell shown) = -27.34


Entry 8:
This record from the Alexandria database describes a relaxed SrReIr crystal. The functional is PBE-GGA.

a b c (Å): 11.2800 4.4954 5.2530
angles (deg): 90.00 90.74 90.00
Space group Cm (No. 8)
Symmetry-distinct sites (fractional):
Sr1 0.0000 0.0000 0.0000 (multiplicity 2)
Sr2 0.0454 0.5000 0.4973 (multiplicity 2)
Re1 0.2781 0.0000 0.7720 (multiplicity 2)
Re2 0.3074 0.5000 0.4912 (multiplicity 2)
Ir1 0.2340 0.5000 0.9878 (multiplicity 2)
Ir2 0.2678 0.0000 0.2690 (multiplicity 2)

- E (eV for the cell shown) = -90.86


Entry 9:
This record from the Alexandria database describes a relaxed PmNd2Zn crystal. The functional is PBE-GGA.

a b c (Å): 5.6165 5.6165 3.7367
angles (deg): 90.00 90.00 90.00
Space group P4/mmm (No. 123)
Symmetry-distinct sites (fractional):
Pm1 0.0000 0.0000 0.0000 (multiplicity 1)
Nd1 0.0000 0.5000 0.5000 (multiplicity 2)
Zn1 0.5000 0.5000 0.0000 (multiplicity 1)

- E (eV for the cell shown) = -15.58


Entry 10:
This record from the Alexandria database describes a relaxed KNa3I4 crystal. The functional is PBE-GGA.

a b c (Å): 8.2100 9.4793 8.1865
angles (deg): 90.00 109.47 90.00
Space group P2/c (No. 13)
Symmetry-distinct sites (fractional):
K1 0.0000 0.1260 0.2500 (multiplicity 2)
Na1 0.0000 0.3796 0.7500 (multiplicity 2)
Na2 0.5000 0.1293 0.7500 (multiplicity 2)
Na3 0.5000 0.3776 0.2500 (multiplicity 2)
I1 0.2542 0.3853 0.5120 (multiplicity 4)
I2 0.2695 0.1356 0.9975 (multiplicity 4)

- formation energy from raw total energies (eV per atom) = -1.30


Entry 11:
This record from the Alexandria database describes a relaxed Cs3P2H8 crystal. The functional is PBE-GGA.

a b c (Å): 4.9662 4.9662 42.9888
angles (deg): 90.00 90.00 120.00
Space group R-3m (No. 166, hexagonal axes)
Symmetry-distinct sites (fractional):
Cs1 0.0000 0.0000 0.0000 (multiplicity 3)
Cs2 0.0000 0.0000 0.2191 (multiplicity 6)
P1 0.0000 0.0000 0.3884 (multiplicity 6)
H1 0.0000 0.0000 0.2882 (multiplicity 6)
H2 0.0511 0.5256 0.2601 (multiplicity 18)

- E (eV for the cell shown) = -121.53


Entry 12:
This record from the Alexandria database describes a relaxed TcCl3O crystal. The functional is PBE-GGA.

a b c (Å): 4.5399 4.5399 4.5399
angles (deg): 90.00 90.00 90.00
Space group Pm-3m (No. 221)
Symmetry-distinct sites (fractional):
Tc1 0.0000 0.0000 0.0000 (multiplicity 1)
Cl1 0.0000 0.5000 0.5000 (multiplicity 3)
O1 0.5000 0.5000 0.5000 (multiplicity 1)

- formation energy from raw total energies (eV per atom) = 0.89


Entry 13:
This record from the Alexandria database describes a relaxed ScSn2Pb crystal. The functional is PBE-GGA.

a b c (Å): 4.6819 4.6819 24.3173
angles (deg): 90.00 90.00 120.00
Space group R-3m (No. 166, hexagonal axes)
Symmetry-distinct sites (fractional):
Sc1 0.0000 0.0000 0.0000 (multiplicity 3)
Sn1 0.0000 0.0000 0.3781 (multiplicity 6)
Pb1 0.0000 0.0000 0.5000 (multiplicity 3)

- E (eV for the cell shown) = -50.46


Entry 14:
This record from the Alexandria database describes a relaxed BeAs2IrBr crystal. The functional is PBE-GGA.

a b c (Å): 4.7583 4.7583 5.4110
angles (deg): 90.00 90.00 90.00
Space group P4/mmm (No. 123)
Symmetry-distinct sites (fractional):
Be1 0.0000 0.0000 0.0000 (multiplicity 1)
As1 0.0000 0.5000 0.5000 (multiplicity 2)
Ir1 0.5000 0.5000 0.5000 (multiplicity 1)
Br1 0.5000 0.5000 0.0000 (multiplicity 1)

- formation energy from raw total energies (eV per atom) = 0.92


Entry 15:
This record from the Alexandria database describes a relaxed NaZrB2 crystal. The functional is PBE-GGA.

a b c (Å): 4.0174 4.0174 17.2344
angles (deg): 90.00 90.00 90.00
Space group I4_1/amd (No. 141, origin choice 2)
Symmetry-distinct sites (fractional):
Na1 0.0000 0.2500 0.3750 (multiplicity 4)
Zr1 0.0000 0.2500 0.8750 (multiplicity 4)
B1 0.0000 0.0000 0.0000 (multiplicity 8)

- E (eV for the cell shown) = -74.32


Entry 16:
This record from the Alexandria database describes a relaxed LaMgGa2Pt2 crystal. The functional is PBE-GGA.

a b c (Å): 4.4410 4.4410 6.9762
angles (deg): 90.00 90.00 120.00
Space group P-3m1 (No. 164)
Symmetry-distinct sites (fractional):
La1 0.0000 0.0000 0.0000 (multiplicity 1)
Mg1 0.0000 0.0000 0.5000 (multiplicity 1)
Ga1 0.3333 0.6667 0.3047 (multiplicity 2)
Pt1 0.3333 0.6667 0.7022 (multiplicity 2)

- E (eV for the cell shown) = -30.18


Entry 17:
This record from the Alexandria database describes a relaxed Er2HfMn crystal. The functional is PBE-GGA.

a b c (Å): 3.2541 3.2541 32.8817
angles (deg): 90.00 90.00 120.00
Space group R-3m (No. 166, hexagonal axes)
Symmetry-distinct sites (fractional):
Er1 0.0000 0.0000 0.0870 (multiplicity 6)
Hf1 0.0000 0.0000 0.5000 (multiplicity 3)
Mn1 0.0000 0.0000 0.0000 (multiplicity 3)

- E (eV for the cell shown) = -78.64


Entry 18:
This record from the Alexandria database describes a relaxed Ce2CdHg3 crystal. The functional is PBE-GGA.

a b c (Å): 3.3799 5.5883 17.7453
angles (deg): 90.00 90.00 90.00
Space group Immm (No. 71)
Symmetry-distinct sites (fractional):
Ce1 0.0000 0.0000 0.1562 (multiplicity 4)
Cd1 0.0000 0.0000 0.5000 (multiplicity 2)
Hg1 0.0000 0.0000 0.3330 (multiplicity 4)
Hg2 0.0000 0.5000 0.5000 (multiplicity 2)

- E (eV for the cell shown) = -28.76


Entry 19:
This record from the Alexandria database describes a relaxed Te4IrBr crystal. The functional is PBE-GGA.

a b c (Å): 6.2648 7.5404 8.1818
angles (deg): 84.21 87.33 88.79
Space group P-1 (No. 2)
Symmetry-distinct sites (fractional):
Te1 0.1291 0.0407 0.3162 (multiplicity 2)
Te2 0.1880 0.4887 0.7785 (multiplicity 2)
Te3 0.2235 0.0220 0.8714 (multiplicity 2)
Te4 0.2523 0.5394 0.1538 (multiplicity 2)
Ir1 0.0291 0.2651 0.0501 (multiplicity 2)
Br1 0.4927 0.2506 0.4438 (multiplicity 2)

- formation energy from raw total energies (eV per atom) = -0.06


Entry 20:
This record from the Alexandria database describes a relaxed SrRuW2 crystal. The functional is PBE-GGA.

a b c (Å): 6.6174 6.6174 6.6174
angles (deg): 90.00 90.00 90.00
Space group F-43m (No. 216)
Symmetry-distinct sites (fractional):
Sr1 0.0000 0.0000 0.0000 (multiplicity 4)
Ru1 0.2500 0.2500 0.2500 (multiplicity 4)
W1 0.0000 0.0000 0.5000 (multiplicity 4)
W2 0.2500 0.2500 0.7500 (multiplicity 4)

- E (eV for the cell shown) = -131.40


Number 1: density of states at the Fermi level 3.0 states/eV/cell, size of the total moment 0.000 μB/atom. Number 2: density of states at the Fermi level 4.6 states/eV/cell, size of the total moment 0.000 μB/atom. Number 3: density of states at the Fermi level 2.1 states/eV/cell, size of the total moment 1.412 μB/atom. Number 4: density of states at the Fermi level 34.4 states/eV/cell, size of the total moment 0.658 μB/atom. Number 5: density of states at the Fermi level 4.2 states/eV/cell, size of the total moment 0.000 μB/atom. Number 6: density of states at the Fermi level 12.2 states/eV/cell, size of the total moment 0.031 μB/atom. Number 7: density of states at the Fermi level 4.1 states/eV/cell, size of the total moment 0.302 μB/atom. Number 8: density of states at the Fermi level 9.4 states/eV/cell, size of the total moment 0.000 μB/atom. Number 9: density of states at the Fermi level 5.3 states/eV/cell, size of the total moment 0.000 μB/atom. Number 10: density of states at the Fermi level 0.0 states/eV/cell, size of the total moment 0.000 μB/atom. Number 11: density of states at the Fermi level 4.2 states/eV/cell, size of the total moment 0.000 μB/atom. Number 12: density of states at the Fermi level 1.9 states/eV/cell, size of the total moment 0.972 μB/atom. Number 13: density of states at the Fermi level 12.5 states/eV/cell, size of the total moment 0.000 μB/atom. Number 14: density of states at the Fermi level 4.8 states/eV/cell, size of the total moment 0.000 μB/atom. Number 15: density of states at the Fermi level 13.3 states/eV/cell, size of the total moment 0.000 μB/atom. Number 16: density of states at the Fermi level 3.1 states/eV/cell, size of the total moment 0.000 μB/atom. Number 17: density of states at the Fermi level 17.3 states/eV/cell, size of the total moment 0.862 μB/atom. Number 18: density of states at the Fermi level 30.1 states/eV/cell, size of the total moment 0.378 μB/atom. Number 19: density of states at the Fermi level 5.5 states/eV/cell, size of the total moment 0.000 μB/atom. Number 20: density of states at the Fermi level 21.2 states/eV/cell, size of the total moment 0.000 μB/atom.